# CaNiMoAu2

A geometry-optimized CaNiMoAu2 structure (PBE-GGA, Alexandria).

Lattice parameters (Å, degrees): 4.868 4.650 4.868 90.00 90.00 90.00
Fractional coordinates of all 5 atoms:
1 Ni 0.000 0.000 0.000
2 Mo 0.500 0.500 0.500
3 Au 0.000 0.000 0.500
4 Au 0.500 0.000 0.000
5 Ca 0.000 0.500 0.000

Values from the calculation:
The uncorrected energy comes out at -4.29 eV per atom. As for the energy relative to the lowest polymorph listed for this composition: 0.000 eV/f.u. Its crystal system is tetragonal. The total magnetic moment is 0.86 μB/atom.